[1]
Compound: Na3TiI
Source: Alexandria via LeMat-Bulk
Functional: GGA-PBE
Structure: optimized geometry

Summary:
E_form (uncorrected) ... 0.65 eV per atom
Uncorrected energy ... -2.027 eV/atom
Polymorph energy (0 for the lowest one) ... 213 meV/atom

Cell lengths 6.1305, 6.1305, 6.1305 Å; angles 90.00, 90.00, 90.00 degrees
Closest atoms and distances in Å follow each position.
Space group Pm-3m (No. 221)
One atom of each set of equivalent atoms:
Na1 0.0000 0.0000 0.5000 [3 per cell]  2 Ti 3.07
Ti1 0.0000 0.0000 0.0000 [1 per cell]  6 Na 3.07
I1 0.5000 0.5000 0.5000 [1 per cell]  12 Na 4.33

---

[2]
Compound: NaTi3I
Source: Alexandria via LeMat-Bulk
Functional: GGA-PBE
Structure: optimized geometry

Summary:
E_form (uncorrected) ... 1.57 eV per atom
Uncorrected energy ... -3.744 eV/atom
Polymorph energy (0 for the lowest one) ... 521 meV/atom

Cell lengths 4.8898, 4.8898, 4.8898 Å; angles 90.00, 90.00, 90.00 degrees
Closest atoms and distances in Å follow each position.
Space group Pm-3m (No. 221)
One atom of each set of equivalent atoms:
Na1 0.0000 0.0000 0.0000 [1 per cell]  6 Ti 2.44
Ti1 0.0000 0.0000 0.5000 [3 per cell]  2 Na 2.44
I1 0.5000 0.5000 0.5000 [1 per cell]  12 Ti 3.46

---

[3]
Compound: NaTi4I7
Source: Alexandria via LeMat-Bulk
Functional: GGA-PBE
Structure: optimized geometry

Summary:
E_form (uncorrected) ... -0.53 eV per atom
Uncorrected energy ... -4.174 eV/atom

Cell lengths 5.0646, 20.3797, 8.4416 Å; angles 90.00, 90.00, 90.00 degrees
Closest atoms and distances in Å follow each position.
Space group Pmmn (No. 59, origin choice 2)
One atom of each set of equivalent atoms:
Na1 0.2500 0.2500 0.0007 [2 per cell]  6 I 3.28-3.51
Ti1 0.2500 0.5078 0.0866 [4 per cell]  3 Ti 2.77-2.94, 5 I 2.85-2.99
Ti2 0.2500 0.6045 0.8555 [4 per cell]  4 I 2.75-2.82, 1 Ti 2.77
I1 0.2500 0.0257 0.7585 [4 per cell]  4 Ti 2.78-2.87
I2 0.2500 0.1068 0.2914 [4 per cell]  3 Ti 2.82-2.91
I3 0.2500 0.6515 0.1604 [4 per cell]  2 Ti 2.75-2.99
I4 0.2500 0.7500 0.7521 [2 per cell]  2 Ti 3.09, 2 Na 3.28

---

[4]
Compound: NaTiI6
Source: Alexandria via LeMat-Bulk
Functional: GGA-PBE
Structure: optimized geometry

Summary:
E_form (uncorrected) ... -0.64 eV per atom
Uncorrected energy ... -2.954 eV/atom

Cell lengths 8.0588, 12.6143, 6.8529 Å; angles 90.00, 108.37, 90.00 degrees
Closest atoms and distances in Å follow each position.
Space group C2/m (No. 12)
One atom of each set of equivalent atoms:
Na1 0.0000 0.0000 0.0000 [2 per cell]  6 I 3.17-3.34
Ti1 0.0000 0.5000 0.5000 [2 per cell]  6 I 2.72-2.77
I1 0.2076 0.3427 0.7374 [8 per cell]  1 Ti 2.77
I2 0.2084 0.5000 0.2552 [4 per cell]  1 Ti 2.72

---

[5]
Compound: NaTiI4
Source: Alexandria via LeMat-Bulk
Functional: GGA-PBE
Structure: optimized geometry

Summary:
E_form (uncorrected) ... -0.89 eV per atom
Uncorrected energy ... -3.461 eV/atom

Cell lengths 7.7931, 4.2461, 8.1519 Å; angles 90.00, 106.04, 90.00 degrees
Closest atoms and distances in Å follow each position.
Space group P2/m (No. 10)
One atom of each set of equivalent atoms:
Na1 0.0000 0.0000 0.0000 [1 per cell]  6 I 3.18-3.22
Ti1 0.5000 0.5000 0.0000 [1 per cell]  6 I 2.78-2.88
I1 0.1532 0.5000 0.7873 [2 per cell]  1 Ti 2.78
I2 0.4173 0.0000 0.2051 [2 per cell]  2 Ti 2.88, 1 Na 3.22

---

[6]
Compound: Na2TiI4
Source: Alexandria via LeMat-Bulk
Functional: GGA-PBE
Structure: optimized geometry

Summary:
E_form (uncorrected) ... -0.87 eV per atom
Uncorrected energy ... -3.265 eV/atom

Cell lengths 7.7497, 7.7497, 10.6630 Å; angles 90.00, 90.00, 90.00 degrees
Closest atoms and distances in Å follow each position.
Space group I-42m (No. 121)
One atom of each set of equivalent atoms:
Na1 0.0000 0.5000 0.2500 [4 per cell]  4 I 3.13
Ti1 0.0000 0.0000 0.0000 [2 per cell]  4 I 2.78
I1 0.2295 0.2295 0.1104 [8 per cell]  1 Ti 2.78

---

The lowest E_form (uncorrected) belongs to which entry?
NaTiI4